(1)
Here is a PBEsol-optimized structure of Gd2CCl from the Alexandria database. Energies are from SCAN.

abc: 7.0109 7.0109 7.0109
angles: 30.14 30.14 30.14
Closest atoms and distances in Å follow each position.
Atoms (fractional coordinates):
Gd1 0.2315 0.2315 0.2315  3 C 2.47
Gd2 0.7685 0.7685 0.7685  3 C 2.47
C1 0.5000 0.5000 0.5000  6 Gd 2.47
Cl1 0.0000 0.0000 0.0000  6 Gd 2.93

Results
**Space-group type**: R-3m, No. 166
**Crystal system**: trigonal
**Uncorrected formation energy**: -1.220 eV/atom

---

(2)
Here is a PBEsol-optimized structure of Be7Au6 from the Alexandria database. Energies are from SCAN.

abc: 8.7273 8.7273 8.7273
angles: 31.26 31.26 31.26
Closest atoms and distances in Å follow each position.
Atoms (fractional coordinates):
Be1 0.0000 0.0000 0.0000  6 Be 2.32
Be2 0.0844 0.0844 0.6003  5 Be 2.28-2.43, 4 Au 2.39-2.50
Be3 0.0844 0.6003 0.0844  5 Be 2.28-2.43, 4 Au 2.39-2.50
Be4 0.3997 0.9156 0.9156  5 Be 2.28-2.43, 4 Au 2.39-2.50
Be5 0.6003 0.0844 0.0844  5 Be 2.28-2.43, 4 Au 2.39-2.50
Be6 0.9156 0.3997 0.9156  5 Be 2.28-2.43, 4 Au 2.39-2.50
Be7 0.9156 0.9156 0.3997  5 Be 2.28-2.43, 4 Au 2.39-2.50
Au1 0.1730 0.1730 0.1730  6 Be 2.50-2.73, 3 Au 2.73
Au2 0.3343 0.3343 0.3343  3 Be 2.39
Au3 0.4448 0.4448 0.4448  6 Be 2.50, 2 Au 2.75
Au4 0.5552 0.5552 0.5552  6 Be 2.50, 2 Au 2.75
Au5 0.6657 0.6657 0.6657  3 Be 2.39
Au6 0.8270 0.8270 0.8270  6 Be 2.50-2.73, 3 Au 2.73

Results
**Space-group type**: R-3m, No. 166
**Crystal system**: trigonal
**Formation enthalpy at 0 K**: -0.2354 eV per atom

---

(3)
Here is a PBEsol-optimized structure of Ba2InBi2 from the Alexandria database. Energies are from SCAN.

abc: 8.5734 8.5734 5.0735
angles: 90.00 90.00 90.00
Closest atoms and distances in Å follow each position.
Atoms (fractional coordinates):
Ba1 0.1766 0.3234 0.0000  6 Bi 3.49-3.65
Ba2 0.3234 0.8234 0.0000  6 Bi 3.49-3.65
Ba3 0.6766 0.1766 0.0000  6 Bi 3.49-3.65
Ba4 0.8234 0.6766 0.0000  6 Bi 3.49-3.65
In1 0.0000 0.0000 0.5000  4 Bi 3.39
In2 0.5000 0.5000 0.5000  4 Bi 3.39
Bi1 0.1253 0.6253 0.5000  1 Bi 3.04, 2 In 3.39
Bi2 0.3747 0.1253 0.5000  1 Bi 3.04, 2 In 3.39
Bi3 0.6253 0.8747 0.5000  1 Bi 3.04, 2 In 3.39
Bi4 0.8747 0.3747 0.5000  1 Bi 3.04, 2 In 3.39

Results
**Space-group type**: P4/mbm, No. 127
**Crystal system**: tetragonal
**Formation enthalpy at 0 K**: -0.7803 eV per atom

---

(4)
Here is a PBEsol-optimized structure of GeSe2NO from the Alexandria database. Energies are from SCAN.

abc: 5.0274 5.0274 3.4879
angles: 90.00 90.00 90.00
Closest atoms and distances in Å follow each position.
Atoms (fractional coordinates):
Ge1 0.0000 0.0000 0.0000  2 N 1.74
Se1 0.0000 0.5000 0.0000  2 Ge 2.51
Se2 0.5000 0.0000 0.0000  2 Ge 2.51
N1 0.0000 0.0000 0.5000  2 Ge 1.74
O1 0.5000 0.5000 0.5000  8 Se 3.06

Results
**Space-group type**: P4/mmm, No. 123
**Crystal system**: tetragonal
**Uncorrected formation energy**: 1.305 eV/atom

---

(5)
Here is a PBEsol-optimized structure of Nb6C5 from the Alexandria database. Energies are from SCAN.

abc: 5.4673 5.4673 5.4634
angles: 99.70 99.70 119.87
Closest atoms and distances in Å follow each position.
Atoms (fractional coordinates):
Nb1 0.0646 0.4171 0.7463  5 C 2.14-2.27
Nb2 0.2362 0.2362 0.2638  5 C 2.11-2.23
Nb3 0.4171 0.0646 0.7463  5 C 2.14-2.27
Nb4 0.5829 0.9354 0.2537  5 C 2.14-2.27
Nb5 0.7638 0.7638 0.7362  5 C 2.11-2.23
Nb6 0.9354 0.5829 0.2537  5 C 2.14-2.27
C1 0.0000 0.0000 0.5000  6 Nb 2.11-2.27
C2 0.1650 0.8350 0.0000  6 Nb 2.21-2.22
C3 0.3335 0.6665 0.5000  6 Nb 2.14-2.26
C4 0.6665 0.3335 0.5000  6 Nb 2.14-2.26
C5 0.8350 0.1650 0.0000  6 Nb 2.21-2.22

Results
**Space-group type**: C2/m, No. 12
**Crystal system**: monoclinic
**Formation enthalpy at 0 K**: -0.5874 eV per atom

---

(6)
Here is a PBEsol-optimized structure of CaAg2Ir from the Alexandria database. Energies are from SCAN.

abc: 5.6315 5.6315 2.9096
angles: 102.92 102.92 120.78
Closest atoms and distances in Å follow each position.
Atoms (fractional coordinates):
Ca1 0.0000 0.0000 0.0000  4 Ir 2.78-2.98, 4 Ag 2.87, 2 Ca 2.91
Ag1 0.0000 0.5000 0.5000  6 Ag 2.78-2.98, 2 Ca 2.87, 2 Ir 2.87
Ag2 0.5000 0.0000 0.5000  6 Ag 2.78-2.98, 2 Ca 2.87, 2 Ir 2.87
Ir1 0.5000 0.5000 0.0000  4 Ca 2.78-2.98, 4 Ag 2.87, 2 Ir 2.91

Results
**Space-group type**: C2/m, No. 12
**Crystal system**: monoclinic
**Formation enthalpy at 0 K**: 0.1410 eV per atom

---

(7)
Here is a PBEsol-optimized structure of Ca2BeSi from the Alexandria database. Energies are from SCAN.

abc: 5.5645 5.5645 5.5645
angles: 140.01 129.17 66.56
Closest atoms and distances in Å follow each position.
Atoms (fractional coordinates):
Ca1 0.0000 0.0000 0.0000  4 Ca 3.03-3.37, 4 Si 3.12-3.25, 4 Be 3.18
Ca2 0.7012 0.2012 0.5000  4 Ca 3.03-3.37, 4 Be 3.04-3.36, 4 Si 3.15
Be1 0.4033 0.4033 0.0000  2 Si 2.20
Si1 0.2838 0.7838 0.5000  2 Be 2.20

Results
**Space-group type**: Imm2, No. 44
**Crystal system**: orthorhombic
**Uncorrected formation energy**: -0.103 eV/atom

---

(8)
Here is a PBEsol-optimized structure of CaAlAs2 from the Alexandria database. Energies are from SCAN.

abc: 4.5332 4.5332 3.8293
angles: 90.00 90.00 90.00
Closest atoms and distances in Å follow each position.
Atoms (fractional coordinates):
Ca1 0.0000 0.0000 0.0000  8 As 2.97, 4 Al 3.21
Al1 0.5000 0.5000 0.0000  8 As 2.97, 4 Ca 3.21
As1 0.0000 0.5000 0.5000  4 Ca 2.97, 4 Al 2.97, 4 As 3.21
As2 0.5000 0.0000 0.5000  4 Ca 2.97, 4 Al 2.97, 4 As 3.21

Results
**Space-group type**: P4/mmm, No. 123
**Crystal system**: tetragonal
**Formation enthalpy at 0 K**: -0.4325 eV per atom

---

(9)
Here is a PBEsol-optimized structure of BaYW2 from the Alexandria database. Energies are from SCAN.

abc: 5.0168 5.0168 5.0168
angles: 60.00 60.00 60.00
Closest atoms and distances in Å follow each position.
Atoms (fractional coordinates):
Ba1 0.0000 0.0000 0.0000  8 W 3.07
Y1 0.5000 0.5000 0.5000  8 W 3.07
W1 0.2500 0.2500 0.2500  4 Y 3.07, 4 Ba 3.07
W2 0.7500 0.7500 0.7500  4 Y 3.07, 4 Ba 3.07

Results
**Space-group type**: Fm-3m, No. 225
**Crystal system**: cubic
**Formation enthalpy at 0 K**: 1.8410 eV per atom

---

(10)
Here is a PBEsol-optimized structure of AlTc from the Alexandria database. Energies are from SCAN.

abc: 3.0201 3.0201 3.0201
angles: 90.00 90.00 90.00
Closest atoms and distances in Å follow each position.
Atoms (fractional coordinates):
Al1 0.0000 0.0000 0.0000  8 Tc 2.62
Tc1 0.5000 0.5000 0.5000  8 Al 2.62

Results
**Space-group type**: Pm-3m, No. 221
**Crystal system**: cubic
**Formation enthalpy at 0 K**: -0.3716 eV per atom

---

(11)
Here is a PBEsol-optimized structure of Nb3ReH from the Alexandria database. Energies are from SCAN.

abc: 4.1318 4.1318 4.1318
angles: 90.00 90.00 90.00
Closest atoms and distances in Å follow each position.
Atoms (fractional coordinates):
Nb1 0.0000 0.0000 0.5000  2 H 2.07
Nb2 0.0000 0.5000 0.0000  2 H 2.07
Nb3 0.5000 0.0000 0.0000  2 H 2.07
Re1 0.5000 0.5000 0.5000  12 Nb 2.92
H1 0.0000 0.0000 0.0000  6 Nb 2.07

Results
**Space-group type**: Pm-3m, No. 221
**Crystal system**: cubic
**Total DFT energy (no corrections)**: -34.656 eV per atom

---

(12)
Here is a PBEsol-optimized structure of LaIrW2 from the Alexandria database. Energies are from SCAN.

abc: 2.8003 2.8003 9.1878
angles: 90.00 90.00 90.00
Closest atoms and distances in Å follow each position.
Atoms (fractional coordinates):
La1 0.0000 0.0000 0.0000  4 La 2.80
Ir1 0.0000 0.0000 0.5000  8 W 2.74, 4 Ir 2.80
W1 0.5000 0.5000 0.2932  4 Ir 2.74, 4 W 2.80
W2 0.5000 0.5000 0.7068  4 Ir 2.74, 4 W 2.80

Results
**Space-group type**: P4/mmm, No. 123
**Crystal system**: tetragonal
**Formation enthalpy at 0 K**: 0.4059 eV per atom

---

(13)
Here is a PBEsol-optimized structure of CsIrW2 from the Alexandria database. Energies are from SCAN.

abc: 4.6088 4.6088 4.6088
angles: 60.00 60.00 60.00
Closest atoms and distances in Å follow each position.
Atoms (fractional coordinates):
Cs1 0.0000 0.0000 0.0000  8 W 2.82
Ir1 0.5000 0.5000 0.5000  8 W 2.82
W1 0.2500 0.2500 0.2500  4 Ir 2.82, 4 Cs 2.82
W2 0.7500 0.7500 0.7500  4 Cs 2.82, 4 Ir 2.82

Results
**Space-group type**: Fm-3m, No. 225
**Crystal system**: cubic
**Formation enthalpy at 0 K**: 1.9494 eV per atom

---

(14)
Here is a PBEsol-optimized structure of ZrTe2Ru from the Alexandria database. Energies are from SCAN.

abc: 3.5221 6.7146 6.7146
angles: 34.09 90.00 90.00
Closest atoms and distances in Å follow each position.
Atoms (fractional coordinates):
Zr1 0.0000 0.0000 0.0000  6 Te 2.86-2.98, 2 Ru 2.91
Te1 0.0000 0.3383 0.3383  4 Ru 2.65, 2 Zr 2.86
Te2 0.5000 0.6074 0.6074  1 Ru 2.73, 4 Zr 2.98
Ru1 0.5000 0.8197 0.8197  5 Te 2.65-2.73, 2 Zr 2.91

Results
**Space-group type**: Amm2, No. 38
**Crystal system**: orthorhombic
**Uncorrected formation energy**: -0.527 eV/atom

---

(15)
Here is a PBEsol-optimized structure of NiRh2Br from the Alexandria database. Energies are from SCAN.

abc: 4.4499 4.4499 2.8732
angles: 90.00 90.00 100.48
Closest atoms and distances in Å follow each position.
Atoms (fractional coordinates):
Ni1 0.0000 0.0000 0.0000  8 Rh 2.65, 2 Br 2.85, 2 Ni 2.87
Rh1 0.0000 0.5000 0.5000  4 Br 2.65, 4 Ni 2.65, 4 Rh 2.85-2.87
Rh2 0.5000 0.0000 0.5000  4 Br 2.65, 4 Ni 2.65, 4 Rh 2.85-2.87
Br1 0.5000 0.5000 0.0000  8 Rh 2.65, 2 Ni 2.85, 2 Br 2.87

Results
**Space-group type**: Cmmm, No. 65
**Crystal system**: orthorhombic
**Uncorrected formation energy**: 0.645 eV/atom

---

(16)
Here is a PBEsol-optimized structure of Nb6AlSn from the Alexandria database. Energies are from SCAN.

abc: 5.2146 5.2146 5.2146
angles: 90.00 90.00 90.00
Closest atoms and distances in Å follow each position.
Atoms (fractional coordinates):
Nb1 0.0000 0.2428 0.5000  2 Nb 2.53-2.68
Nb2 0.0000 0.7572 0.5000  2 Nb 2.53-2.68
Nb3 0.2428 0.5000 0.0000  2 Nb 2.53-2.68
Nb4 0.5000 0.0000 0.2428  2 Nb 2.53-2.68
Nb5 0.5000 0.0000 0.7572  2 Nb 2.53-2.68
Nb6 0.7572 0.5000 0.0000  2 Nb 2.53-2.68
Al1 0.0000 0.0000 0.0000  12 Nb 2.90
Sn1 0.5000 0.5000 0.5000  12 Nb 2.93

Results
**Space-group type**: Pm-3, No. 200
**Crystal system**: cubic
**Formation enthalpy at 0 K**: -0.2378 eV per atom

---

(17)
Here is a PBEsol-optimized structure of LiNbGe3 from the Alexandria database. Energies are from SCAN.

abc: 4.4002 4.4002 4.4002
angles: 90.00 90.00 90.00
Closest atoms and distances in Å follow each position.
Atoms (fractional coordinates):
Li1 0.0000 0.0000 0.0000  6 Ge 2.20
Nb1 0.5000 0.5000 0.5000  12 Ge 3.11
Ge1 0.0000 0.0000 0.5000  2 Li 2.20
Ge2 0.0000 0.5000 0.0000  2 Li 2.20
Ge3 0.5000 0.0000 0.0000  2 Li 2.20

Results
**Space-group type**: Pm-3m, No. 221
**Crystal system**: cubic
**Formation enthalpy at 0 K**: 0.6894 eV per atom

---

(18)
Here is a PBEsol-optimized structure of BaNbI5O16 from the Alexandria database. Energies are from SCAN.

abc: 7.8121 7.8121 14.7874
angles: 109.63 109.63 56.98
Closest atoms and distances in Å follow each position.
Atoms (fractional coordinates):
Ba1 0.1487 0.8513 0.5000  5 O 2.59-2.71
Ba2 0.8513 0.1487 0.0000  5 O 2.59-2.71
Nb1 0.6700 0.7147 0.4122  1 O 1.77
Nb2 0.7147 0.6700 0.9122  1 O 1.77
I1 0.0104 0.5953 0.2243  3 O 1.83-1.87
I2 0.1176 0.4015 0.5762  3 O 1.80-1.95
I3 0.2079 0.9063 0.7791  3 O 1.82-1.91
I4 0.2274 0.4842 0.8857  3 O 1.80-1.91
I5 0.3736 0.7186 0.1674  3 O 1.81-1.88
I6 0.4015 0.1176 0.0762  3 O 1.80-1.95
I7 0.4842 0.2274 0.3857  3 O 1.80-1.91
I8 0.5953 0.0104 0.7243  3 O 1.83-1.87
I9 0.7186 0.3736 0.6674  3 O 1.81-1.88
I10 0.9063 0.2079 0.2791  3 O 1.82-1.91
O1 0.0020 0.9060 0.8103  1 I 1.82
O2 0.0148 0.2344 0.4956  1 I 1.80
O3 0.1167 0.3185 0.1646  1 I 1.84
O4 0.1167 0.9421 0.1479  1 I 1.81
O5 0.2065 0.5630 0.3374  1 I 1.83
O6 0.2279 0.2740 0.9108  1 I 1.80
O7 0.2344 0.0148 0.9956  1 I 1.80
O8 0.2442 0.7152 0.6656  1 I 1.82
O9 0.2740 0.2279 0.4108  1 I 1.80
O10 0.2806 0.5474 0.1662  1 I 1.83
O11 0.3185 0.1167 0.6646  1 I 1.84
O12 0.3999 0.5313 0.9972  1 I 1.82
O13 0.4140 0.8186 0.3031  1 I 1.88, 1 Nb 2.05
O14 0.4269 0.7048 0.8562  1 I 1.91, 1 Nb 2.01
O15 0.5222 0.9534 0.1672  1 I 1.83
O16 0.5253 0.7924 0.5022  1 Nb 1.77
O17 0.5313 0.3999 0.4972  1 I 1.82
O18 0.5474 0.2806 0.6662  1 I 1.83
O19 0.5630 0.2065 0.8374  1 I 1.83
O20 0.5852 0.8254 0.7732  1 I 1.87
O21 0.6164 0.9531 0.9970  1 I 1.95, 1 Nb 2.00
O22 0.6962 0.9712 0.4271  1 I 1.91, 1 Nb 2.06
O23 0.7048 0.4269 0.3562  1 I 1.91, 1 Nb 2.01
O24 0.7152 0.2442 0.1656  1 I 1.82
O25 0.7924 0.5253 0.0022  1 Nb 1.77
O26 0.8186 0.4140 0.8031  1 I 1.88, 1 Nb 2.05
O27 0.8254 0.5852 0.2732  1 I 1.87
O28 0.9060 0.0020 0.3103  1 I 1.82
O29 0.9421 0.1167 0.6479  1 I 1.81
O30 0.9534 0.5222 0.6672  1 I 1.83
O31 0.9531 0.6164 0.4970  1 I 1.95, 1 Nb 2.00
O32 0.9712 0.6962 0.9271  1 I 1.91, 1 Nb 2.06

Results
**Space-group type**: Cc, No. 9
**Crystal system**: monoclinic
**Uncorrected formation energy**: -1.022 eV/atom

---

(19)
Here is a PBEsol-optimized structure of PbBrNO2 from the Alexandria database. Energies are from SCAN.

abc: 4.2106 4.2106 4.5915
angles: 90.00 90.00 90.00
Closest atoms and distances in Å follow each position.
Atoms (fractional coordinates):
Pb1 0.0000 0.0000 0.0000  4 O 2.11, 2 N 2.30
Br1 0.5000 0.5000 0.5000  4 N 2.98, 8 O 3.11
N1 0.0000 0.0000 0.5000  2 Pb 2.30
O1 0.0000 0.5000 0.0000  2 Pb 2.11
O2 0.5000 0.0000 0.0000  2 Pb 2.11

Results
**Space-group type**: P4/mmm, No. 123
**Crystal system**: tetragonal
**Uncorrected formation energy**: 0.936 eV/atom

---

(20)
Here is a PBEsol-optimized structure of Si2WCl from the Alexandria database. Energies are from SCAN.

abc: 4.8609 4.8609 4.8609
angles: 139.60 127.48 68.29
Closest atoms and distances in Å follow each position.
Atoms (fractional coordinates):
Si1 0.2488 0.2488 0.0000  2 Cl 2.61, 2 W 2.63, 4 Si 2.73
Si2 0.7512 0.7512 0.0000  2 Cl 2.61, 2 W 2.63, 4 Si 2.73
W1 0.5000 0.0000 0.5000  8 Si 2.63-2.94, 4 Cl 2.73
Cl1 0.0000 0.5000 0.5000  4 Si 2.61, 4 W 2.73

Results
**Space-group type**: Immm, No. 71
**Crystal system**: orthorhombic
**Uncorrected formation energy**: 0.899 eV/atom

---

Number 1: calculated volume 77 Å³/cell. Number 2: calculated volume 159 Å³/cell. Number 3: calculated volume 373 Å³/cell. Number 4: calculated volume 88 Å³/cell. Number 5: calculated volume 133 Å³/cell. Number 6: calculated volume 71 Å³/cell. Number 7: calculated volume 85 Å³/cell. Number 8: calculated volume 79 Å³/cell. Number 9: calculated volume 89 Å³/cell. Number 10: calculated volume 28 Å³/cell. Number 11: calculated volume 71 Å³/cell. Number 12: calculated volume 72 Å³/cell. Number 13: calculated volume 69 Å³/cell. Number 14: calculated volume 89 Å³/cell. Number 15: calculated volume 56 Å³/cell. Number 16: calculated volume 142 Å³/cell. Number 17: calculated volume 85 Å³/cell. Number 18: calculated volume 699 Å³/cell. Number 19: calculated volume 81 Å³/cell. Number 20: calculated volume 58 Å³/cell.